Density functional theory data (PBE) for LiPm2PaSe5 after structural relaxation.

Unit cell a=8.8770 b=8.8770 c=12.5917 alpha=90.00 beta=90.00 gamma=153.41
Last column: nearest neighbours and their distance in Å.
Positions (direct):
Li 0.0204 0.9796 0.5000  4 Se 2.44-2.70
Li 0.9796 0.0204 0.0000  4 Se 2.44-2.70
Pm 0.3719 0.6281 0.3274  8 Se 2.98-3.27
Pm 0.3920 0.6080 0.7186  8 Se 3.02-3.16
Pm 0.6080 0.3920 0.2186  8 Se 3.02-3.16
Pm 0.6281 0.3719 0.8274  8 Se 2.98-3.27
Pa 0.2995 0.7005 0.0362  6 Se 2.74-2.89
Pa 0.7005 0.2995 0.5362  6 Se 2.74-2.89
Se 0.0028 0.9972 0.8090  1 Li 2.44
Se 0.1342 0.8658 0.0305  1 Li 2.70, 1 Pa 2.86
Se 0.1879 0.8121 0.3754  2 Pa 2.88, 2 Pm 3.16
Se 0.2141 0.7859 0.6972  2 Pa 2.89, 3 Pm 3.01-3.09
Se 0.4514 0.5486 0.0987  2 Li 2.44
Se 0.5486 0.4514 0.5987  2 Li 2.44
Se 0.7859 0.2141 0.1972  2 Pa 2.89, 3 Pm 3.01-3.09
Se 0.8121 0.1879 0.8754  2 Pa 2.88, 2 Pm 3.16
Se 0.8658 0.1342 0.5305  1 Li 2.70, 1 Pa 2.86
Se 0.9972 0.0028 0.3090  1 Li 2.44

Output
- energy relative to the elements, uncorrected (kJ per mole of atoms) = -151
- size of the total moment (μB/cell) = 2.5
- E_tot (eV/atom) = -5.820
- SG = Cmc2_1, No. 36